# GGA-PBEsol NiRu2Br, optimized geometry
# VASP energy: -6.191 eV per atom
# ΔE to the lowest computed polymorph: 89 meV/atom
# D(E_F): 6.29 states/eV per cell
# formation energy without anion corrections: 0.902 eV/atom
# magnetization: 0.00 μB/f.u.
data_NiRu2Br
_chemical_formula_sum 'Ni1 Ru2 Br1'
_cell_length_a 2.785
_cell_length_b 4.474
_cell_length_c 4.507
_cell_angle_alpha 90.00
_cell_angle_beta 90.00
_cell_angle_gamma 90.00
_space_group_name_H-M_alt 'P m m m'
_space_group_IT_number 47
loop_
_space_group_symop_operation_xyz
'x,y,z'
'-x,-y,-z'
'-x,-y,z'
'x,y,-z'
'x,-y,-z'
'-x,y,z'
'-x,y,-z'
'x,-y,z'
loop_
_atom_site_label
_atom_site_fract_x
_atom_site_fract_y
_atom_site_fract_z
_atom_site_occupancy
Ni1 0.000 0.000 0.000 1
Ru1 0.000 0.500 0.500 1
Ru2 0.500 0.500 0.000 1
Br1 0.500 0.000 0.500 1